The following is a DFT calculation (PBE-GGA) of Gd2HgSb after structural relaxation.

Values from the calculation:
E_form (uncorrected)	-0.752	eV/atom
excess energy over the best structure of this formula in the dataset	0	meV per atom

Unit cell a=3.9418 b=3.9418 c=6.9215 alpha=90.00 beta=90.00 gamma=90.00
Closest atoms and distances in Å follow each position.
Sites, in units of the cell vectors:
1 Gd 0.0000 0.0000 0.7562  4 Sb 3.26, 4 Hg 3.30, 2 Gd 3.37-3.55
2 Sb 0.5000 0.5000 0.0000  8 Gd 3.26, 2 Hg 3.46
3 Gd 0.0000 0.0000 0.2438  4 Sb 3.26, 4 Hg 3.30, 2 Gd 3.37-3.55
4 Hg 0.5000 0.5000 0.5000  8 Gd 3.30, 2 Sb 3.46